LaUMn2O8: relaxed, PBE+U.

Computed properties:
Total DFT energy (no corrections) in Ry per atom: -0.601
Total magnetic moment in μB/f.u.: 7.00
Crystal system: tetragonal

a b c (Å): 5.2677 5.2677 11.3104
angles (deg): 90.00 90.00 90.00
Space group I-4 (No. 82)
Inequivalent atoms, fractional coordinates:
La1 0.0000 0.0000 0.0000 [2 per cell]
U1 0.0000 0.5000 0.7500 [2 per cell]
Mn1 0.0000 0.0000 0.5000 [2 per cell]
Mn2 0.0000 0.5000 0.2500 [2 per cell]
O1 0.1445 0.2701 0.5765 [8 per cell]
O2 0.1865 0.7904 0.1920 [8 per cell]